Entry from Alexandria: a relaxed structure of Ca2RuRhO (PBE-GGA).

The structure in POSCAR format:
```
Ca2RuRhO
1.0
5.4147 0.0000 0.0000
0.0000 4.4753 0.0000
0.0000 0.0000 5.4147
Rh Ru O Ca
1 1 1 2
Cartesian
0.0000 2.2377 0.0000
0.0000 0.0000 0.0000
2.7074 2.2377 2.7074
2.7074 0.0000 0.0000
0.0000 0.0000 2.7074
```

Results
* energy relative to the elements, uncorrected: 0.417 eV/atom
* DOS(E_F): 0.7338 states/eV per atom
* E: -23.51 eV per cell



Entry from Alexandria: a relaxed structure of KNi2Ru (PBE-GGA).

The structure in POSCAR format:
```
KNi2Ru
1.0
-0.6194 -1.2077 2.2255
4.9051 -1.6109 0.4910
1.0533 3.9500 2.4367
K Ni Ru
1 2 1
Cartesian
2.9792 1.1695 1.4638
2.1428 -1.4093 1.3583
0.0000 0.0000 0.0000
0.2169 1.3711 2.3311
```

Results
* DOS(E_F): 1.5496 states/eV per atom
* E: -17.04 eV per cell
* formation energy from the elements: 1.22 eV/atom



Entry from Alexandria: a relaxed structure of NaGeMoPd2 (PBE-GGA).

The structure in POSCAR format:
```
NaGeMoPd2
1.0
4.6753 0.0000 0.0000
0.0000 4.9351 0.0000
0.0000 0.0000 4.6753
Ge Pd Na Mo
1 2 1 1
Cartesian
0.0000 0.0000 0.0000
0.0000 0.0000 2.3377
2.3377 0.0000 0.0000
0.0000 2.4676 0.0000
2.3377 2.4676 2.3377
```

Results
* DOS(E_F): 0.6920 states/eV per atom
* E: -23.02 eV per cell
* formation energy from the elements: 0.83 eV/atom



Entry from Alexandria: a relaxed structure of LaZn3Bi (PBE-GGA).

The structure in POSCAR format:
```
LaZn3Bi
1.0
-4.1389 -0.9516 -3.5955
-3.5661 -0.5128 4.2407
-1.0566 5.4585 -0.2284
Zn La Bi
3 1 1
Cartesian
-1.7830 -0.2564 2.1203
-2.0694 -0.4758 -1.7977
-0.5283 2.7292 -0.1142
0.0000 0.0000 0.0000
-4.3807 1.9970 0.2084
```

Results
* DOS(E_F): 0.8299 states/eV per atom
* E: -8.55 eV per cell
* formation energy from the elements: 0.82 eV/atom



Entry from Alexandria: a relaxed structure of Sc2AgRh (PBE-GGA).

The structure in POSCAR format:
```
Sc2AgRh
1.0
-2.9645 -8.9424 -0.4503
-1.8282 -8.6159 -3.3738
0.1093 -9.3774 -1.0050
Sc Ag Rh
2 1 1
Cartesian
-1.1484 -6.6046 -1.1841
-0.0642 -0.3692 -0.0662
-2.3179 -13.3313 -2.3901
-3.4946 -20.0985 -3.6033
```

Results
* DOS(E_F): 0.8600 states/eV per atom
* E: -23.31 eV per cell
* formation energy from the elements: -0.11 eV/atom



Entry from Alexandria: a relaxed structure of Mg7TlCd12 (PBE-GGA).

The structure in POSCAR format:
```
Mg7TlCd12
1.0
5.7605 0.0000 1.6669
-3.2833 8.4943 4.1553
-0.8061 0.0000 9.9775
Mg Cd Tl
7 12 1
Cartesian
-1.0272 1.3956 7.1242
-2.4154 6.8717 11.9644
2.8802 0.0000 0.8334
4.0864 1.6226 3.8352
1.4749 5.4761 5.6686
2.6982 7.0988 8.6754
0.1961 3.0182 10.1310
-0.6320 4.4108 7.6382
3.1036 2.9001 10.8305
-0.2788 4.1933 2.7011
-0.1831 7.2758 7.8061
0.6325 8.2769 10.4598
2.3030 4.0835 8.1614
1.8541 1.2185 7.9935
-1.4326 5.5942 4.9691
1.2641 1.6815 2.8412
1.9498 4.3010 13.0986
0.4069 6.8128 12.9585
1.0386 0.2175 5.3399
0.0000 0.0000 0.0000
```

Results
* DOS(E_F): 0.3503 states/eV per atom
* E: -23.90 eV per cell
* formation energy from the elements: 0.03 eV/atom



Entry from Alexandria: a relaxed structure of LiB2H (PBE-GGA).

The structure in POSCAR format:
```
LiB2H
1.0
3.1606 0.0000 0.0043
0.0000 8.5504 0.0000
-0.7553 0.0000 5.0333
Li B H
4 8 4
Cartesian
1.5803 7.5899 0.0021
-0.3777 5.9422 2.5167
1.2027 3.3148 2.5188
0.0000 1.6670 0.0000
1.2077 4.8940 4.2300
0.8199 0.6188 3.3243
2.3753 8.5115 3.2187
-0.3477 4.2363 4.3356
1.5854 0.6188 1.7134
2.7530 4.2363 0.7020
1.1976 4.8940 0.8076
0.0300 8.5115 1.8189
1.2515 6.0926 3.8427
0.7762 1.8174 3.7116
1.6291 1.8174 1.3261
1.1539 6.0926 1.1949
```

Results
* DOS(E_F): 0.0965 states/eV per atom
* E: -75.59 eV per cell



Entry from Alexandria: a relaxed structure of In2GaBi2 (PBE-GGA).

The structure in POSCAR format:
```
In2GaBi2
1.0
-3.4436 0.1816 -7.7537
0.5401 -8.4574 -0.4380
-3.7442 -0.3249 1.6553
Bi In Ga
4 4 2
Cartesian
-3.6746 -7.1827 -4.6273
-2.0545 -5.6808 -0.6680
-4.5932 -2.9198 -5.8685
-2.9731 -1.4179 -1.9091
-0.7734 -7.2028 -3.1629
-2.6133 -5.2620 -6.9439
-0.2902 -3.0138 -1.2478
-2.1301 -1.0730 -5.0289
-1.4518 -4.1379 -4.0959
0.0000 0.0000 0.0000
```

Results
* DOS(E_F): 0.2831 states/eV per atom
* E: -31.23 eV per cell
* formation energy from the elements: 0.13 eV/atom



Entry from Alexandria: a relaxed structure of PmCdRh2 (PBE-GGA).

The structure in POSCAR format:
```
PmCdRh2
1.0
-4.3109 -2.0161 0.1109
-0.7511 -3.8669 2.6729
-2.6697 0.3046 3.9295
Pm Rh Cd
1 2 1
Cartesian
0.0000 0.0000 0.0000
-1.9329 -1.3946 1.6783
-5.7988 -4.1838 5.0350
-3.8659 -2.7892 3.3566
```

Results
* DOS(E_F): 0.5565 states/eV per atom
* E: -22.28 eV per cell
* formation energy from the elements: -0.48 eV/atom



Entry from Alexandria: a relaxed structure of Na2HoBiSe4 (PBE-GGA).

The structure in POSCAR format:
```
Na2HoBiSe4
1.0
-3.5128 2.2531 0.2540
-1.8840 -3.6166 6.0254
3.9810 5.9894 1.9267
Ho Se Na Bi
1 4 2 1
Cartesian
-2.6984 -0.6817 3.1397
-0.1194 3.0053 6.1013
-0.4742 -1.2894 4.8799
2.5711 3.6622 3.0721
-1.2965 1.6207 2.1048
0.2341 4.1213 1.0903
1.0485 1.1864 3.9760
0.0000 0.0000 0.0000
```

Results
* energy relative to the elements, uncorrected: -1.220 eV/atom
* DOS(E_F): 0.0000 states/eV per atom
* E: -34.80 eV per cell



Entry from Alexandria: a relaxed structure of VZn2Tc (PBE-GGA).

The structure in POSCAR format:
```
VZn2Tc
1.0
6.9384 0.0000 0.0000
0.0000 6.9384 0.0000
3.4692 3.4692 2.5168
V Zn Tc
2 4 2
Cartesian
3.4692 3.4692 0.0000
3.4692 6.9384 1.2584
5.2038 5.2091 1.8876
5.1985 1.7346 0.6292
8.6730 8.6677 1.8876
1.7399 5.2038 0.6292
6.9384 3.4692 1.2584
0.0000 0.0000 0.0000
```

Results
* DOS(E_F): 0.8696 states/eV per atom
* E: -40.05 eV per cell
* formation energy from the elements: 0.50 eV/atom



Entry from Alexandria: a relaxed structure of Tb2PtPb (PBE-GGA).

The structure in POSCAR format:
```
Tb2PtPb
1.0
3.9729 0.0000 0.0000
1.9865 3.4406 0.0000
1.9865 1.1469 8.2689
Pt Tb Pb
1 2 1
Cartesian
0.0000 0.0000 0.0000
5.9594 3.4406 6.6205
1.9865 1.1469 1.6484
3.9729 2.2938 4.1345
```

Results
* DOS(E_F): 0.8653 states/eV per atom
* E: -22.06 eV per cell
* formation energy from the elements: -0.76 eV/atom



Entry from Alexandria: a relaxed structure of SbClF2 (PBE-GGA).

The structure in POSCAR format:
```
SbClF2
1.0
4.3801 -0.0716 0.0000
-1.8254 5.5273 0.0000
0.0000 0.0000 7.4968
Cl F Sb
2 4 2
Cartesian
0.3245 4.7922 1.8742
2.2302 0.6635 5.6226
2.1941 3.4933 4.2883
0.3606 1.9624 3.2085
2.1941 3.4933 6.9568
0.3606 1.9624 0.5399
1.6168 2.7907 1.8742
0.9378 2.6650 5.6226
```

Results
* energy relative to the elements, uncorrected: -1.837 eV/atom
* DOS(E_F): 0.0000 states/eV per atom
* E: -34.12 eV per cell



Entry from Alexandria: a relaxed structure of TiSb3Se (PBE-GGA).

The structure in POSCAR format:
```
TiSb3Se
1.0
5.3071 0.0000 0.0000
0.0000 5.3071 0.0000
0.0000 0.0000 5.3071
Ti Sb Se
1 3 1
Cartesian
2.6536 2.6536 2.6536
2.6536 0.0000 0.0000
0.0000 2.6536 0.0000
0.0000 0.0000 2.6536
0.0000 0.0000 0.0000
```

Results
* energy relative to the elements, uncorrected: 0.844 eV/atom
* DOS(E_F): 1.4302 states/eV per atom
* E: -19.53 eV per cell



Entry from Alexandria: a relaxed structure of SrZn2Co (PBE-GGA).

The structure in POSCAR format:
```
SrZn2Co
1.0
5.5403 0.0024 0.0048
2.1618 5.1011 -0.0048
-3.2281 -3.4918 2.8427
Zn Co Sr
2 1 1
Cartesian
3.4449 2.2826 0.0000
0.4062 0.2691 0.0000
1.3923 2.0805 1.4190
3.0816 -0.4688 1.4237
```

Results
* DOS(E_F): 0.4662 states/eV per atom
* E: -10.54 eV per cell
* formation energy from the elements: 0.20 eV/atom



Entry from Alexandria: a relaxed structure of La2ZnS (PBE-GGA).

The structure in POSCAR format:
```
La2ZnS
1.0
0.0000 3.6649 3.6649
3.6649 0.0000 3.6649
3.6649 3.6649 0.0000
La S Zn
2 1 1
Cartesian
1.8324 1.8324 1.8324
5.4973 5.4973 5.4973
0.0000 0.0000 0.0000
3.6649 3.6649 3.6649
```

Results
* energy relative to the elements, uncorrected: -0.789 eV/atom
* DOS(E_F): 0.7006 states/eV per atom
* E: -18.41 eV per cell



Entry from Alexandria: a relaxed structure of Sm2Tl2AsO6 (PBE-GGA).

The structure in POSCAR format:
```
Sm2Tl2AsO6
1.0
-3.6776 -4.3449 -1.6382
2.9889 -0.4604 5.0932
-4.7337 4.3362 2.1857
O Tl Sm As
6 2 2 1
Cartesian
-1.7351 0.2760 1.5590
-2.2807 2.5094 3.0892
-1.1911 -1.8419 4.5212
-4.2313 1.3728 1.1196
-3.1417 -2.9785 2.5515
-3.6873 -0.7451 4.0817
1.9162 -1.0855 4.0100
-2.6048 -3.7198 -0.5550
-1.6076 0.4085 3.9347
-3.8148 -0.8776 1.7060
-2.3668 2.1681 1.0929
```

Results
* energy relative to the elements, uncorrected: -1.855 eV/atom
* DOS(E_F): 0.4289 states/eV per atom
* E: -68.97 eV per cell



Entry from Alexandria: a relaxed structure of HoZrIr (PBE-GGA).

The structure in POSCAR format:
```
HoZrIr
1.0
4.6710 0.0000 0.0000
2.3355 4.0452 0.0000
2.3355 1.3484 3.8139
Zr Ho Ir
1 1 1
Cartesian
0.0000 0.0000 0.0000
4.6710 2.6968 1.9069
2.3355 1.3484 0.9535
```

Results
* DOS(E_F): 0.9589 states/eV per atom
* E: -23.65 eV per cell
* formation energy from the elements: -0.56 eV/atom



Entry from Alexandria: a relaxed structure of InSe5 (PBE-GGA).

The structure in POSCAR format:
```
InSe5
1.0
-3.7523 3.5537 -4.9684
-1.0819 -7.0204 0.9677
-2.5770 0.7381 2.4741
Se In
5 1
Cartesian
-3.1646 2.1459 -1.2472
-1.9720 -3.4957 -1.0110
-3.7056 -1.3643 -0.7633
-2.8621 0.0290 -2.9897
-1.8294 -3.1412 1.7209
0.0000 0.0000 0.0000
```

Results
* energy relative to the elements, uncorrected: 0.213 eV/atom
* DOS(E_F): 0.1960 states/eV per atom
* E: -18.88 eV per cell



Entry from Alexandria: a relaxed structure of Na2PaIn9 (PBE-GGA).

The structure in POSCAR format:
```
Na2PaIn9
1.0
4.6299 0.0000 0.0000
0.0000 4.6299 0.0000
0.0000 0.0000 14.3065
Na In Pa
2 9 1
Cartesian
0.0000 0.0000 9.5708
0.0000 0.0000 4.7358
2.3149 0.0000 2.3734
2.3149 2.3149 0.0000
0.0000 2.3149 11.9332
2.3149 2.3149 9.5980
0.0000 2.3149 2.3734
0.0000 2.3149 7.1533
2.3149 2.3149 4.7085
2.3149 0.0000 7.1533
2.3149 0.0000 11.9332
0.0000 0.0000 0.0000
```

Results
* DOS(E_F): 0.7281 states/eV per atom
* E: -37.66 eV per cell
* formation energy from the elements: -0.07 eV/atom